No. 1
Density functional theory data (GGA-PBE) for crystalline KH6N2O at its relaxed geometry.

```
KH6N2O
1.0
3.494 -5.651 0.000
3.494 5.651 0.000
-0.522 0.000 4.674
K H N O
2 12 4 2
Cartesian
3.103 4.303 3.506 K
3.364 -4.303 1.169 K
2.106 3.466 1.060 H
2.077 1.271 2.925 H
1.911 1.267 4.586 H
4.622 3.466 1.277 H
2.338 -1.271 0.588 H
2.172 -1.267 2.248 H
4.295 1.267 2.426 H
4.129 1.271 4.087 H
1.845 -3.466 3.397 H
4.556 -1.267 0.089 H
4.390 -1.271 1.750 H
4.361 -3.466 3.614 H
1.378 1.278 3.682 N
1.639 -1.278 1.345 N
4.828 1.278 3.329 N
5.089 -1.278 0.992 N
3.364 2.022 1.169 O
3.103 -2.022 3.506 O
```

Volume ... 9.229 A^3/atom
Magnetic moment ... 1.00 μB/f.u.

No. 2
Density functional theory data (GGA-PBE) for crystalline KH4NO at its relaxed geometry.

```
KH4NO
1.0
4.301 -2.469 0.000
4.301 2.469 0.000
-3.459 0.000 7.422
K H N O
2 8 2 2
Cartesian
-0.359 0.000 2.525 K
5.501 0.000 4.897 K
2.111 0.838 1.421 H
2.727 0.000 0.119 H
0.455 0.000 5.640 H
2.111 -0.838 1.421 H
3.032 0.838 6.001 H
4.688 0.000 1.782 H
2.416 0.000 7.303 H
3.032 -0.838 6.001 H
2.659 0.000 1.145 N
2.484 0.000 6.277 N
-0.434 0.000 5.220 O
5.577 0.000 2.203 O
```

Volume ... 11.259 A^3/atom
D(E_F) ... 0.0 states/eV per cell
Magnetic moment ... 0.09 μB/f.u.

No. 3
Density functional theory data (GGA-PBE) for crystalline KHN2O at its relaxed geometry.

```
KHN2O
1.0
3.299 0.000 0.000
0.000 3.299 0.000
0.000 0.000 5.406
K H N O
1 1 2 1
Cartesian
0.000 0.000 0.000 K
1.650 1.650 2.703 H
0.000 1.650 2.703 N
1.650 0.000 2.703 N
1.650 1.650 0.000 O
```

Volume ... 11.767 A^3/atom
D(E_F) ... 5.1 states/eV per cell
Magnetic moment ... 2.15 μB/f.u.

no.,DFT total energy (eV/atom)
1,-4.668
2,-4.747
3,-3.412